# PBE ScNbAl3, optimized geometry
data_ScNbAl3
_cell_length_a 4.890
_cell_length_b 4.890
_cell_length_c 4.890
_cell_angle_alpha 90.00
_cell_angle_beta 90.00
_cell_angle_gamma 90.00
_space_group_name_H-M_alt 'P m -3 m'
_space_group_IT_number 221
_space_group_name_Hall '-P 4 2 3'
loop_
_atom_site_label
_atom_site_type_symbol
_atom_site_fract_x
_atom_site_fract_y
_atom_site_fract_z
Sc1 Sc 0.000 0.000 0.000
Nb1 Nb 0.500 0.500 0.500
Al1 Al 0.000 0.500 0.500
# Calculated total energy (eV/atom): -5.093
# Energy of formation (meV/atom): 433
# N(E_F) (states/eV/cell): 3.18